Computed, not measured: a geometry-optimized Al3Ag7 structure at the PBE-GGA level of DFT.

- SG = No. 186
- energy relative to the elements (kcal/mol of atoms) = 0.168

a = 5.4170 Å, b = 8.6913 Å, c = 8.6913 Å
α = 120.00°, β = 90.00°, γ = 90.00°
Fractional coordinates of all 20 atoms:
1 Al 0.8812 0.2099 0.4197
2 Al 0.8812 0.2099 0.7901
3 Al 0.8812 0.5803 0.7901
4 Al 0.3812 0.7901 0.5803
5 Al 0.3812 0.7901 0.2099
6 Al 0.3812 0.4197 0.2099
7 Ag 0.0103 0.6667 0.3333
8 Ag 0.5103 0.3333 0.6667
9 Ag 0.8954 0.8823 0.7645
10 Ag 0.8954 0.8823 0.1177
11 Ag 0.8954 0.2355 0.1177
12 Ag 0.3954 0.1177 0.2355
13 Ag 0.3954 0.1177 0.8823
14 Ag 0.3954 0.7645 0.8823
15 Ag 0.1893 0.4789 0.9578
16 Ag 0.1893 0.4789 0.5211
17 Ag 0.1893 0.0422 0.5211
18 Ag 0.6893 0.5211 0.0422
19 Ag 0.6893 0.5211 0.4789
20 Ag 0.6893 0.9578 0.4789